1.
MnFe2As: relaxed, GGA-PBEsol. Values from VASP.

Results
The calculation puts the energy of formation from the pure elements at 237 meV/atom. The symmetry is R-3m (166).

```
&SYSTEM
  ibrav = 0, nat = 4, ntyp = 3
/
ATOMIC_SPECIES
As 74.92 As.upf
Fe 55.84 Fe.upf
Mn 54.94 Mn.upf
ATOMIC_POSITIONS crystal
As 0.000 0.000 0.000
Fe 0.249 0.249 0.253
Fe 0.751 0.751 0.747
Mn 0.500 0.500 0.500
CELL_PARAMETERS angstrom
2.613 0.000 0.000
1.306 2.263 0.000
1.306 0.754 7.592
```



2.
MnFe2As: relaxed, GGA-PBEsol. Values from VASP.

Results
The calculation puts the energy of formation from the pure elements at -15 meV/atom. The symmetry is F-43m (216).

```
&SYSTEM
  ibrav = 0, nat = 4, ntyp = 3
/
ATOMIC_SPECIES
As 74.92 As.upf
Fe 55.84 Fe.upf
Mn 54.94 Mn.upf
ATOMIC_POSITIONS crystal
As 0.500 0.500 0.500
Fe 0.000 0.000 0.000
Fe 0.750 0.750 0.750
Mn 0.250 0.250 0.250
CELL_PARAMETERS angstrom
3.977 0.000 0.000
1.988 3.444 0.000
1.988 1.148 3.247
```



3.
Mn3FeAs4: relaxed, GGA-PBEsol. Values from VASP.

Results
The calculation puts the energy of formation from the pure elements at -282 meV/atom. The symmetry is Pm (6).

```
&SYSTEM
  ibrav = 0, nat = 8, ntyp = 3
/
ATOMIC_SPECIES
Mn 54.94 Mn.upf
Fe 55.84 Fe.upf
As 74.92 As.upf
ATOMIC_POSITIONS crystal
Mn 0.000 0.992 0.807
Mn 0.500 0.504 0.303
Mn 0.500 0.003 0.194
Fe 0.000 0.496 0.694
As 0.000 0.305 0.078
As 0.000 0.806 0.423
As 0.500 0.690 0.913
As 0.500 0.203 0.588
CELL_PARAMETERS angstrom
3.393 0.000 0.000
0.000 5.329 0.000
0.000 -0.020 5.920
```